# Ni2PbBr PBE-GGA optimized geometry
data_Ni2PbBr
_chemical_formula_sum 'Ni8 Pb4 Br4'
_cell_length_a 6.580
_cell_length_b 6.580
_cell_length_c 6.580
_cell_angle_alpha 90.00
_cell_angle_beta 90.00
_cell_angle_gamma 90.00
_symmetry_space_group_name_H-M 'F m -3 m'
_symmetry_Int_Tables_number 225
_symmetry_space_group_name_Hall '-F 4 2 3'
loop_
_atom_site_label
_atom_site_fract_x
_atom_site_fract_y
_atom_site_fract_z
Ni1 0.250 0.250 0.250
Pb1 0.000 0.000 0.000
Br1 0.000 0.000 0.500
# raw formation energy	0.48	eV per atom
# ΔE to the lowest computed polymorph	157	kJ/mol of formula units
# total DFT energy (no corrections)	-3.75	eV per atom